Record 1
A plane-wave DFT calculation with PBE was carried out for crystalline Sm2Ag3Hg5 at its relaxed geometry.

abc: 12.086 13.387 5.980
angles: 90.00 90.00 90.00
Space group Ibam (No. 72)
Symmetry-distinct sites (fractional):
Sm 0.127 0.235 0.000 (multiplicity 8)
Ag 0.000 0.500 0.250 (multiplicity 4)
Ag 0.132 0.144 0.500 (multiplicity 8)
Hg 0.000 0.000 0.250 (multiplicity 4)
Hg 0.108 0.346 0.500 (multiplicity 8)
Hg 0.242 0.500 0.250 (multiplicity 8)

Summary:
The calculation puts the density of states at the Fermi level at 19.7 states/eV per cell. Its calculated total energy is -2.10 eV per atom. The formation energy comes out at -14.4 kJ/mol of atoms.

***

Record 2
A plane-wave DFT calculation with PBE was carried out for crystalline Ba2AgPd2 at its relaxed geometry.

abc: 4.905 5.911 9.603
angles: 90.00 90.00 90.00
Space group Immm (No. 71)
Symmetry-distinct sites (fractional):
Ba 0.000 0.000 0.196 (multiplicity 4)
Ag 0.000 0.500 0.000 (multiplicity 2)
Pd 0.000 0.254 0.500 (multiplicity 4)

Summary:
The calculation puts the density of states at the Fermi level at 3.4 states/eV per cell. The offset from the most stable computed form is 0 meV per atom. Its calculated total energy is -3.88 eV per atom. The formation energy comes out at -44.9 kJ/mol of atoms.

***

Record 3
A plane-wave DFT calculation with PBE was carried out for crystalline NaCd2Cu2 at its relaxed geometry.

abc: 7.911 7.911 2.949
angles: 90.00 90.00 90.00
Space group P4/mbm (No. 127)
Symmetry-distinct sites (fractional):
Na 0.000 0.000 0.000 (multiplicity 2)
Cd 0.178 0.322 0.500 (multiplicity 4)
Cu 0.115 0.615 0.000 (multiplicity 4)

Summary:
The calculation puts the density of states at the Fermi level at 3.3 states/eV per cell. The offset from the most stable computed form is 0 meV per atom. Its calculated total energy is -2.24 eV per atom. The formation energy comes out at 2.8 kJ/mol of atoms.